Entry 1
# PBE-GGA Cr2NiS, relaxed
data_Cr2NiS
_cell_length_a 5.1953
_cell_length_b 5.1953
_cell_length_c 5.1953
_cell_angle_alpha 101.14
_cell_angle_beta 101.14
_cell_angle_gamma 127.86
_space_group_name_H-M_alt 'P 1'
_space_group_IT_number 1
_space_group_name_Hall 'P 1'
loop_
_atom_site_label
_atom_site_fract_x
_atom_site_fract_y
_atom_site_fract_z
Cr1 0.0757 0.6250 0.9507
Cr2 0.3750 0.3257 0.4507
Cr3 0.6743 0.1250 0.0493
Cr4 0.8750 0.9243 0.5493
Ni1 0.2500 0.7500 0.5000
Ni2 0.5000 0.5000 0.0000
S1 0.0000 0.0000 0.0000
S2 0.7500 0.2500 0.5000
# - Density: 6504 kg/m3
# - Fermi-level density of states: 1.372 states/eV/atom
# - Symmetry: I-42d, No. 122
# - Calculated volume: 12.43 Å³ per atom

Entry 2
# PBE-GGA Cr2NiS, relaxed
data_Cr2NiS
_cell_length_a 3.9842
_cell_length_b 3.9842
_cell_length_c 3.9842
_cell_angle_alpha 60.00
_cell_angle_beta 60.00
_cell_angle_gamma 60.00
_space_group_name_H-M_alt 'P 1'
_space_group_IT_number 1
_space_group_name_Hall 'P 1'
loop_
_atom_site_label
_atom_site_fract_x
_atom_site_fract_y
_atom_site_fract_z
Cr1 0.2500 0.2500 0.2500
Cr2 0.7500 0.7500 0.7500
Ni1 0.0000 0.0000 0.0000
S1 0.5000 0.5000 0.5000
# - Density: 7231 kg/m3
# - Fermi-level density of states: 1.152 states/eV/atom
# - Symmetry: Fm-3m, No. 225
# - Calculated volume: 11.18 Å³ per atom

Quick one: most stable of them? entry 2

Entry 1
# PBE-GGA CrNi2SbS, relaxed
data_CrNi2SbS
_cell_length_a 4.1010
_cell_length_b 4.1010
_cell_length_c 5.5241
_cell_angle_alpha 90.00
_cell_angle_beta 90.00
_cell_angle_gamma 90.00
_space_group_name_H-M_alt 'P 1'
_space_group_IT_number 1
_space_group_name_Hall 'P 1'
loop_
_atom_site_label
_atom_site_fract_x
_atom_site_fract_y
_atom_site_fract_z
Cr1 0.0000 0.0000 0.0000
Ni1 0.0000 0.5000 0.5000
Ni2 0.5000 0.0000 0.5000
Sb1 0.5000 0.5000 0.0000
S1 0.5000 0.5000 0.5000
# - Density: 5777 kg/m3
# - Fermi-level density of states: 0.684 states/eV/atom
# - Symmetry: P4/mmm, No. 123
# - Calculated volume: 18.58 Å³ per atom

Entry 2
# PBE-GGA CrNi2SbS, relaxed
data_CrNi2SbS
_cell_length_a 4.3057
_cell_length_b 4.3057
_cell_length_c 5.0655
_cell_angle_alpha 90.00
_cell_angle_beta 90.00
_cell_angle_gamma 90.00
_space_group_name_H-M_alt 'P 1'
_space_group_IT_number 1
_space_group_name_Hall 'P 1'
loop_
_atom_site_label
_atom_site_fract_x
_atom_site_fract_y
_atom_site_fract_z
Cr1 0.0000 0.0000 0.0000
Ni1 0.0000 0.5000 0.0000
Ni2 0.5000 0.0000 0.0000
Sb1 0.0000 0.0000 0.5000
S1 0.5000 0.5000 0.5000
# - Density: 5715 kg/m3
# - Fermi-level density of states: 1.081 states/eV/atom
# - Symmetry: P4/mmm, No. 123
# - Calculated volume: 18.78 Å³ per atom

Quick one: most stable of them? entry 1

Entry 1
# PBE-GGA Cr2NiSb2, relaxed
data_Cr2NiSb2
_cell_length_a 8.3732
_cell_length_b 8.3732
_cell_length_c 8.3732
_cell_angle_alpha 157.57
_cell_angle_beta 157.57
_cell_angle_gamma 31.93
_space_group_name_H-M_alt 'P 1'
_space_group_IT_number 1
_space_group_name_Hall 'P 1'
loop_
_atom_site_label
_atom_site_fract_x
_atom_site_fract_y
_atom_site_fract_z
Cr1 0.2500 0.7500 0.5000
Cr2 0.7500 0.2500 0.5000
Ni1 0.0000 0.0000 0.0000
Sb1 0.3926 0.3926 0.0000
Sb2 0.6074 0.6074 0.0000
# - Density: 7898 kg/m3
# - Fermi-level density of states: 0.938 states/eV/atom
# - Symmetry: I4/mmm, No. 139
# - Calculated volume: 17.08 Å³ per atom

Entry 2
# PBE-GGA Cr2NiSb2, relaxed
data_Cr2NiSb2
_cell_length_a 6.9180
_cell_length_b 6.9180
_cell_length_c 3.7974
_cell_angle_alpha 90.00
_cell_angle_beta 90.00
_cell_angle_gamma 90.00
_space_group_name_H-M_alt 'P 1'
_space_group_IT_number 1
_space_group_name_Hall 'P 1'
loop_
_atom_site_label
_atom_site_fract_x
_atom_site_fract_y
_atom_site_fract_z
Cr1 0.1443 0.3557 0.0000
Cr2 0.3557 0.8557 0.0000
Cr3 0.6443 0.1443 0.0000
Cr4 0.8557 0.6443 0.0000
Ni1 0.0000 0.0000 0.5000
Ni2 0.5000 0.5000 0.5000
Sb1 0.1600 0.6600 0.5000
Sb2 0.3400 0.1600 0.5000
Sb3 0.6600 0.8400 0.5000
Sb4 0.8400 0.3400 0.5000
# - Density: 7423 kg/m3
# - Fermi-level density of states: 0.657 states/eV/atom
# - Symmetry: P4/mbm, No. 127
# - Calculated volume: 18.17 Å³ per atom

Entry 3
# PBE-GGA Cr2NiSb2, relaxed
data_Cr2NiSb2
_cell_length_a 6.7224
_cell_length_b 6.7224
_cell_length_c 6.7224
_cell_angle_alpha 144.97
_cell_angle_beta 144.97
_cell_angle_gamma 50.38
_space_group_name_H-M_alt 'P 1'
_space_group_IT_number 1
_space_group_name_Hall 'P 1'
loop_
_atom_site_label
_atom_site_fract_x
_atom_site_fract_y
_atom_site_fract_z
Cr1 0.2500 0.7500 0.5000
Cr2 0.7500 0.2500 0.5000
Ni1 0.0000 0.0000 0.0000
Sb1 0.3857 0.3857 0.0000
Sb2 0.6143 0.6143 0.0000
# - Density: 6772 kg/m3
# - Fermi-level density of states: 1.430 states/eV/atom
# - Symmetry: I4/mmm, No. 139
# - Calculated volume: 19.92 Å³ per atom

Quick one: most stable of them? entry 2